Density functional theory data (PBE-GGA) for crystalline Ac3Ho at its relaxed geometry.

Its space-group type is No. 194. The calculation puts the energy relative to the elements at 0.053 eV/atom.

```
data_Ac3Ho
_space_group_name_H-M_alt 'P 1'
_space_group_IT_number 1
_cell_length_a 7.8364
_cell_length_b 7.8364
_cell_length_c 6.2534
_cell_angle_alpha 90.00
_cell_angle_beta 90.00
_cell_angle_gamma 120.00
loop_
_space_group_symop_operation_xyz
'x,y,z'
loop_
_atom_site_label
_atom_site_type_symbol
_atom_site_fract_x
_atom_site_fract_y
_atom_site_fract_z
_atom_site_occupancy
Ac1 Ac 0.1699 0.3398 0.2500 1
Ac2 Ac 0.1699 0.8301 0.2500 1
Ac3 Ac 0.3398 0.1699 0.7500 1
Ac4 Ac 0.6602 0.8301 0.2500 1
Ac5 Ac 0.8301 0.1699 0.7500 1
Ac6 Ac 0.8301 0.6602 0.7500 1
Ho1 Ho 0.3333 0.6667 0.7500 1
Ho2 Ho 0.6667 0.3333 0.2500 1
```

---

Density functional theory data (PBE-GGA) for crystalline AcHo3 at its relaxed geometry.

Its space-group type is No. 25. The calculation puts the energy relative to the elements at 0.066 eV/atom.

```
data_AcHo3
_space_group_name_H-M_alt 'P 1'
_space_group_IT_number 1
_cell_length_a 3.7296
_cell_length_b 5.8364
_cell_length_c 6.3138
_cell_angle_alpha 90.00
_cell_angle_beta 90.00
_cell_angle_gamma 90.00
loop_
_space_group_symop_operation_xyz
'x,y,z'
loop_
_atom_site_label
_atom_site_type_symbol
_atom_site_fract_x
_atom_site_fract_y
_atom_site_fract_z
_atom_site_occupancy
Ac1 Ac 0.0000 0.0000 0.0000 1
Ho1 Ho 0.0000 0.5000 0.6555 1
Ho2 Ho 0.5000 0.0000 0.4967 1
Ho3 Ho 0.5000 0.5000 0.1664 1
```

---

Density functional theory data (PBE-GGA) for crystalline Ac3Ho2 at its relaxed geometry.

Its space-group type is No. 127. The calculation puts the energy relative to the elements at 0.111 eV/atom.

```
data_Ac3Ho2
_space_group_name_H-M_alt 'P 1'
_space_group_IT_number 1
_cell_length_a 10.2175
_cell_length_b 10.2175
_cell_length_c 3.8285
_cell_angle_alpha 90.00
_cell_angle_beta 90.00
_cell_angle_gamma 90.00
loop_
_space_group_symop_operation_xyz
'x,y,z'
loop_
_atom_site_label
_atom_site_type_symbol
_atom_site_fract_x
_atom_site_fract_y
_atom_site_fract_z
_atom_site_occupancy
Ac1 Ac 0.0000 0.0000 0.0000 1
Ac2 Ac 0.1779 0.3221 0.5000 1
Ac3 Ac 0.3221 0.8221 0.5000 1
Ac4 Ac 0.5000 0.5000 0.0000 1
Ac5 Ac 0.6779 0.1779 0.5000 1
Ac6 Ac 0.8221 0.6779 0.5000 1
Ho1 Ho 0.1164 0.6164 0.0000 1
Ho2 Ho 0.3836 0.1164 0.0000 1
Ho3 Ho 0.6164 0.8836 0.0000 1
Ho4 Ho 0.8836 0.3836 0.0000 1
```